Entry 1:
A relaxed structure of Ac4MoN5. Source: Alexandria via LeMat-Bulk, functional GGA-PBE.

Space-group type: No. 79

Cell: 5.5725 6.4253 6.4253 Å, 79.16 64.30 64.30°
With the nearest neighbours (Å) after each atom.
Fractional coordinates of all 10 atoms:
Ac: 0.3887 0.4187 0.8069  4 N 2.51-2.80
Ac: 0.8074 0.8069 0.5813  4 N 2.51-2.80
Ac: 0.1956 0.1931 0.4187  4 N 2.51-2.80
Ac: 0.6144 0.5813 0.1931  4 N 2.51-2.80
Mo: 0.0728 0.0000 0.0000  1 N 1.83
N: 0.9222 0.3324 0.8379  1 Mo 2.17
N: 0.2546 0.8379 0.6676  1 Mo 2.17
N: 0.7602 0.1621 0.3324  1 Mo 2.17
N: 0.0925 0.6676 0.1621  1 Mo 2.17
N: 0.4019 0.0000 0.0000  1 Mo 1.83

Entry 2:
A relaxed structure of Ac2MoN3. Source: Alexandria via LeMat-Bulk, functional GGA-PBE.

Space-group type: No. 71

Cell: 3.8074 4.1204 7.2653 Å, 106.47 105.19 90.00°
With the nearest neighbours (Å) after each atom.
Fractional coordinates of all 6 atoms:
Ac: 0.6435 0.6435 0.2870  7 N 2.71-2.81
Ac: 0.3565 0.3565 0.7130  7 N 2.71-2.81
Mo: 0.0000 0.0000 0.0000  4 N 2.03-2.06
N: 0.0000 0.5000 0.0000  2 Mo 2.06
N: 0.8484 0.8484 0.6968  1 Mo 2.03
N: 0.1516 0.1516 0.3032  1 Mo 2.03

Entry 3:
A relaxed structure of Ac3MoN4. Source: Alexandria via LeMat-Bulk, functional GGA-PBE.

Space-group type: No. 31

Cell: 5.7943 7.3889 7.9318 Å, 90.00 90.00 90.00°
With the nearest neighbours (Å) after each atom.
Fractional coordinates of all 16 atoms:
Ac: 0.5516 0.8542 0.0000  3 N 2.46-2.57
Ac: 0.0584 0.6476 0.2474  3 N 2.48-2.73
Ac: 0.5584 0.3524 0.2526  3 N 2.48-2.73
Ac: 0.0516 0.1458 0.5000  3 N 2.46-2.57
Ac: 0.5584 0.3524 0.7474  3 N 2.48-2.73
Ac: 0.0584 0.6476 0.7526  3 N 2.48-2.73
Mo: 0.9971 0.1664 0.0000  4 N 1.91-1.95
Mo: 0.4971 0.8336 0.5000  4 N 1.91-1.95
N: 0.0462 0.9050 0.0000  1 Mo 1.95
N: 0.6684 0.1738 0.0000  1 Mo 1.91
N: 0.0676 0.2915 0.2055  1 Mo 1.92
N: 0.5676 0.7085 0.2945  1 Mo 1.92
N: 0.1684 0.8262 0.5000  1 Mo 1.91
N: 0.5462 0.0950 0.5000  1 Mo 1.95
N: 0.5676 0.7085 0.7055  1 Mo 1.92
N: 0.0676 0.2915 0.7945  1 Mo 1.92

Formation energy from raw total energies
In order: -19.47, -21.68, -19.52
Unit: kcal/mol of atoms
Fermi-level density of states
In order: 2.9, 2.2, 5.1
Unit: states/eV/f.u.